The following is a DFT calculation (PBE) of a geometry-optimized LaMg2NbTe structure.

The value obtained for the calculated total energy is -3.005 eV/atom. The value obtained for the magnetic moment is 0.004 μB/f.u.

It has space group P4/mmm (No. 123), with a = 5.847 Å, b = 5.847 Å, c = 5.022 Å, α = 90.00°, β = 90.00° and γ = 90.00°. The asymmetric unit holds La at (0.000, 0.000, 0.000), Mg at (0.000, 0.500, 0.000), Nb at (0.000, 0.000, 0.500) and Te at (0.500, 0.500, 0.500).